1.
Material: RbPb3W
Method: DFT, PBEsol
State: relaxed

Cell lengths 5.774, 5.774, 5.774 Å; angles 90.00, 90.00, 90.00 degrees
Fractional coordinates of all 5 atoms:
Rb 0.000 0.000 0.000
Pb 0.000 0.000 0.500
Pb 0.000 0.500 0.000
Pb 0.500 0.000 0.000
W 0.500 0.500 0.500

## Properties
**Energy relative to the elements**: 2.447 eV per atom
**E_tot**: -2.918 eV/atom

---

2.
Material: RbHfTaTi2
Method: DFT, PBEsol
State: relaxed

Cell lengths 4.539, 4.539, 4.953 Å; angles 90.00, 90.00, 90.00 degrees
Fractional coordinates of all 5 atoms:
Rb 0.000 0.000 0.000
Hf 0.500 0.500 0.500
Ta 0.000 0.000 0.500
Ti 0.000 0.500 0.000
Ti 0.500 0.000 0.000

## Properties
**Energy relative to the elements**: 2.091 eV per atom
**E_tot**: -6.054 eV/atom

---

Q: Which of these has the highest E_tot?
A: RbPb3W

---

Q: Number 1 is which compound?
A: RbPb3W

---

Repeat the second record exactly.
Material: RbHfTaTi2
Method: DFT, PBEsol
State: relaxed

Cell lengths 4.539, 4.539, 4.953 Å; angles 90.00, 90.00, 90.00 degrees
Fractional coordinates of all 5 atoms:
Rb 0.000 0.000 0.000
Hf 0.500 0.500 0.500
Ta 0.000 0.000 0.500
Ti 0.000 0.500 0.000
Ti 0.500 0.000 0.000

## Properties
**Energy relative to the elements**: 2.091 eV per atom
**E_tot**: -6.054 eV/atom

---

Q: Which formula does entry 1 have?
A: RbPb3W